No. 1
The following is a PBE calculation of a relaxed LiZrN2F crystal, from the Alexandria database.

extended XYZ file:
```
5
Lattice="-0.2196 -1.4146 3.3793 3.4469 1.0667 0.6705 -1.1715 3.0347 1.1943" Properties=species:S:1:pos:R:3 pbc="T T T"
N 1.7235 0.5334 0.3353
N -0.1098 -0.7073 1.6896
Li 0.0000 0.0000 0.0000
Zr 1.0279 1.3434 2.6220
F -0.5857 1.5173 0.5971
```

Calculated values
* total energy: -31.70 eV for the cell shown
* formation energy without anion corrections: -544 meV per atom
* size of the total moment: 0.294 μB per formula unit
* ΔE to the lowest computed polymorph: 0.279 eV per atom



No. 2
The following is a PBE calculation of a relaxed LiZrN2F crystal, from the Alexandria database.

extended XYZ file:
```
5
Lattice="4.1942 0.0000 0.0000 0.0000 4.1942 0.0000 0.0000 0.0000 4.2919" Properties=species:S:1:pos:R:3 pbc="T T T"
N 0.0000 2.0971 0.0000
N 2.0971 0.0000 0.0000
Li 2.0971 2.0971 2.1459
Zr 0.0000 0.0000 0.0000
F 0.0000 0.0000 2.1459
```

Calculated values
* total energy: -33.10 eV for the cell shown
* formation energy without anion corrections: -823 meV per atom
* size of the total moment: 0.501 μB per formula unit
* ΔE to the lowest computed polymorph: 0.000 eV per atom



No. 3
The following is a PBE calculation of a relaxed LiZr2NF crystal, from the Alexandria database.

extended XYZ file:
```
5
Lattice="4.5700 0.0000 0.0000 0.0000 3.2858 0.0000 0.0000 0.0000 4.5700" Properties=species:S:1:pos:R:3 pbc="T T T"
N 0.0000 1.6429 0.0000
Li 0.0000 0.0000 0.0000
Zr 0.0000 0.0000 2.2850
Zr 2.2850 0.0000 0.0000
F 2.2850 1.6429 2.2850
```

Calculated values
* total energy: -28.87 eV for the cell shown
* formation energy without anion corrections: 68 meV per atom
* size of the total moment: 0.000 μB per formula unit



No. 4
The following is a PBE calculation of a relaxed Na4LiF5 crystal, from the Alexandria database.

extended XYZ file:
```
10
Lattice="3.2080 0.0000 0.3933 1.5799 2.7920 0.3933 -0.0110 -0.0064 13.3696" Properties=species:S:1:pos:R:3 pbc="T T T"
Na 4.2878 2.5004 4.8651
Na 1.4292 0.8334 1.6227
Na 3.3477 1.9522 12.5335
Na 0.4890 0.2852 9.2911
Li 2.3884 1.3928 7.0781
F 1.9195 1.1193 10.9032
F 0.0000 0.0000 0.0000
F 2.8574 1.6662 3.2530
F 3.8488 2.2443 8.4464
F 0.9281 0.5412 5.7098
```

Calculated values
* total energy: -44.04 eV for the cell shown
* formation energy without anion corrections: -2749 meV per atom
* size of the total moment: 0.070 μB per formula unit
* ΔE to the lowest computed polymorph: 0.000 eV per atom



No. 5
The following is a PBE calculation of a relaxed NaLiF2 crystal, from the Alexandria database.

extended XYZ file:
```
4
Lattice="2.7131 0.0000 0.0000 0.0000 2.7131 0.0000 0.0000 0.0000 5.4597" Properties=species:S:1:pos:R:3 pbc="T T T"
Na 1.3565 1.3565 2.7299
Li 1.3565 1.3565 0.0000
F 0.0000 0.0000 4.1718
F 0.0000 0.0000 1.2880
```

Calculated values
* total energy: -17.31 eV for the cell shown
* formation energy without anion corrections: -2584 meV per atom
* size of the total moment: 0.000 μB per formula unit
* ΔE to the lowest computed polymorph: 0.218 eV per atom



No. 6
The following is a PBE calculation of a relaxed NaLi6F8 crystal, from the Alexandria database.

extended XYZ file:
```
15
Lattice="3.2054 0.0000 0.0000 0.0000 7.0834 -4.0896 0.0000 0.0000 8.1792" Properties=species:S:1:pos:R:3 pbc="T T T"
Na 1.6027 0.0000 0.0000
Li 2.4379 5.4506 -1.7144
Li 2.4379 5.8428 1.4880
Li 2.4379 2.8734 0.2264
Li 0.7675 1.6328 5.8040
Li 0.7675 1.2406 2.6017
Li 0.7675 4.2100 3.8632
F 2.3768 0.2681 2.3061
F 2.3768 4.9523 3.1687
F 2.3768 1.8631 6.7941
F 0.8285 6.8154 1.7835
F 0.8285 2.1312 0.9209
F 0.8285 5.2203 -2.7044
F 0.7501 2.3611 4.0896
F 2.4553 4.7223 0.0000
```

Calculated values
* total energy: -67.39 eV for the cell shown
* formation energy without anion corrections: -2641 meV per atom
* size of the total moment: 1.206 μB per formula unit



- Which of these has the highest formation energy without anion corrections?
  LiZr2NF